1.
4
Lattice="0.000 3.331 3.331 3.331 0.000 3.331 3.331 3.331 0.000" Properties=species:S:1:pos:R:3 comment="CdSiAgAu PBE optimized geometry" volume_a3_per_atom=18.487 de_polymorph_ev_per_fu=0.00 crystal_system=cubic pbc="T T T"
Au 4.997 4.997 4.997
Si 3.331 3.331 3.331
Cd 0.000 0.000 0.000
Ag 1.666 1.666 1.666


2.
6
Lattice="-1.498 2.613 3.416 1.498 -2.613 3.416 1.498 2.613 -3.416" Properties=species:S:1:pos:R:3 comment="ZnB4W PBE optimized geometry" volume_a3_per_atom=8.913 de_polymorph_ev_per_fu=0.23 crystal_system=orthorhombic pbc="T T T"
B 0.000 3.464 1.689
B 1.498 0.851 1.727
B 1.498 -0.851 1.727
B 0.000 1.762 1.689
W 0.000 0.000 0.000
Zn 0.000 0.000 3.416


3.
12
Lattice="3.472 0.000 0.000 1.736 5.817 0.000 0.000 0.000 8.799" Properties=species:S:1:pos:R:3 comment="MgNi2S3 PBE optimized geometry" e_tot_ev_per_atom=-4.615 volume_a3_per_atom=14.807 crystal_system=orthorhombic pbc="T T T"
S 1.736 4.910 6.599
S 1.736 1.666 8.407
Ni 0.000 0.000 4.400
S 1.736 1.666 4.791
Mg 1.736 2.978 2.200
S 3.472 4.151 4.008
S 3.472 4.151 0.392
Ni 3.472 5.378 2.200
Mg 3.472 2.839 6.599
Ni 1.736 0.438 6.599
Ni 0.000 0.000 0.000
S 3.472 0.907 2.200